Density functional theory data (PBE) for a relaxed Na3MgPt crystal.

The structure in POSCAR format:
```
Na3MgPt
1.0
-4.972 -1.365 -1.738
1.946 -0.673 -5.036
1.048 -5.223 1.103
Na Mg Pt
3 1 1
Cartesian
0.973 -0.337 -2.518 Na
0.524 -2.612 0.552 Na
-2.486 -0.682 -0.869 Na
0.000 0.000 0.000 Mg
-0.989 -3.631 -2.835 Pt
```

The calculation puts the theoretical density at 3.0 g cm⁻³. Its polymorph energy (0 for the lowest one) is 0.578 eV/atom.



Density functional theory data (PBE) for a relaxed NaMgPt2 crystal.

The structure in POSCAR format:
```
NaMgPt2
1.0
-1.330 2.607 0.215
-1.253 0.804 2.529
6.985 4.920 3.602
Na Mg Pt
1 1 2
Cartesian
2.201 4.165 3.173 Na
0.000 0.000 0.000 Mg
3.470 6.329 4.817 Pt
0.932 2.001 1.529 Pt
```

The calculation puts the theoretical density at 10.7 g cm⁻³.



Density functional theory data (PBE) for a relaxed NaMgPt2 crystal.

The structure in POSCAR format:
```
NaMgPt2
1.0
7.460 0.000 0.000
0.000 7.460 0.000
3.730 3.730 2.699
Na Mg Pt
2 2 4
Cartesian
3.730 3.730 0.000 Na
3.730 7.460 1.349 Na
0.000 0.000 0.000 Mg
7.460 3.730 1.349 Mg
5.788 1.865 0.675 Pt
1.672 5.595 0.675 Pt
5.595 5.402 2.024 Pt
9.325 9.518 2.024 Pt
```

The calculation puts the theoretical density at 9.7 g cm⁻³.



| no. | electronic total energy (eV/atom) |
| --- | --- |
| 1 | -1.542 |
| 2 | -4.142 |
| 3 | -3.892 |